# La5Sn2Pt, relaxed, DFT PBE-GGA
data_La5Sn2Pt
_chemical_formula_sum 'La10 Sn4 Pt2'
_space_group_name_H-M_alt 'P b a m'
_space_group_IT_number 55
_cell_length_a 8.294
_cell_length_b 12.944
_cell_length_c 4.819
_cell_angle_alpha 90.00
_cell_angle_beta 90.00
_cell_angle_gamma 90.00
loop_
_space_group_symop_operation_xyz
'x,y,z'
'-x,-y,-z'
'-x,-y,z'
'x,y,-z'
'x+1/2,-y+1/2,-z'
'-x+1/2,y+1/2,z'
'-x+1/2,y+1/2,-z'
'x+1/2,-y+1/2,z'
loop_
_atom_site_label
_atom_site_fract_x
_atom_site_fract_y
_atom_site_fract_z
La1 0.000 0.000 0.000
La2 0.147 0.290 0.000
La3 0.185 0.565 0.500
Sn1 0.074 0.830 0.500
Pt1 0.000 0.500 0.000
# DOS at the Fermi energy	8.7	states/eV/f.u.
# energy of formation from the pure elements	-6.426	eV per formula unit
# E	-5.64	eV per atom

***

# K2ZrRu, relaxed, DFT PBE-GGA
data_K2ZrRu
_chemical_formula_sum 'K4 Zr2 Ru2'
_space_group_name_H-M_alt 'C m m m'
_space_group_IT_number 65
_space_group_name_Hall '-C 2 2'
_cell_length_a 3.165
_cell_length_b 5.114
_cell_length_c 12.625
_cell_angle_alpha 90.00
_cell_angle_beta 90.00
_cell_angle_gamma 90.00
loop_
_atom_site_label
_atom_site_fract_x
_atom_site_fract_y
_atom_site_fract_z
K1 0.000 0.000 0.219
Zr1 0.000 0.500 0.500
Ru1 0.000 0.500 0.000
# DOS at the Fermi energy	4.9	states/eV/f.u.
# distance to the lowest polymorph of the same formula	819	meV/atom
# energy of formation from the pure elements	4.507	eV per formula unit
# E	-3.88	eV per atom

***

# PmDy2Y5Ho, relaxed, DFT PBE-GGA
data_PmDy2Y5Ho
_chemical_formula_sum 'Pm4 Dy8 Y20 Ho4'
_space_group_name_H-M_alt 'I 4/m c m'
_space_group_IT_number 140
_space_group_name_Hall '-I 4 2c'
_cell_length_a 8.921
_cell_length_b 8.921
_cell_length_c 14.831
_cell_angle_alpha 90.00
_cell_angle_beta 90.00
_cell_angle_gamma 90.00
loop_
_atom_site_label
_atom_site_fract_x
_atom_site_fract_y
_atom_site_fract_z
Pm1 0.000 0.000 0.250
Dy1 0.113 0.387 0.000
Y1 0.000 0.000 0.000
Y2 0.205 0.295 0.367
Ho1 0.000 0.500 0.250
# DOS at the Fermi energy	11.9	states/eV/f.u.
# energy of formation from the pure elements	2.508	eV per formula unit
# E	-5.37	eV per atom

***

# ErFeCo10, relaxed, DFT PBE-GGA
data_ErFeCo10
_chemical_formula_sum 'Er1 Fe1 Co10'
_space_group_name_H-M_alt 'P m m m'
_space_group_IT_number 47
_cell_length_a 4.022
_cell_length_b 4.713
_cell_length_c 8.250
_cell_angle_alpha 90.00
_cell_angle_beta 90.00
_cell_angle_gamma 90.00
loop_
_space_group_symop_operation_xyz
'x,y,z'
'-x,-y,-z'
'-x,-y,z'
'x,y,-z'
'x,-y,-z'
'-x,y,z'
'-x,y,-z'
'x,-y,z'
loop_
_atom_site_label
_atom_site_fract_x
_atom_site_fract_y
_atom_site_fract_z
Er1 0.000 0.000 0.000
Fe1 0.000 0.500 0.500
Co1 0.000 0.000 0.349
Co2 0.000 0.500 0.199
Co3 0.500 0.000 0.500
Co4 0.500 0.251 0.254
Co5 0.500 0.500 0.000
# DOS at the Fermi energy	14.1	states/eV/f.u.
# energy of formation from the pure elements	0.908	eV per formula unit
# E	-6.93	eV per atom

***

# AlRh2, relaxed, DFT PBE-GGA
data_AlRh2
_chemical_formula_sum 'Al8 Rh16'
_space_group_name_H-M_alt 'C 1 2/c 1'
_space_group_IT_number 15
_cell_length_a 4.600
_cell_length_b 8.259
_cell_length_c 9.112
_cell_angle_alpha 90.00
_cell_angle_beta 101.27
_cell_angle_gamma 90.00
loop_
_space_group_symop_operation_xyz
'x,y,z'
'-x,-y,-z'
'-x,y,-z+1/2'
'x,-y,z+1/2'
'x+1/2,y+1/2,z'
'-x+1/2,-y+1/2,-z'
'-x+1/2,y+1/2,-z+1/2'
'x+1/2,-y+1/2,z+1/2'
loop_
_atom_site_label
_atom_site_fract_x
_atom_site_fract_y
_atom_site_fract_z
Al1 0.145 0.094 0.123
Rh1 0.138 0.247 0.626
Rh2 0.150 0.428 0.127
# DOS at the Fermi energy	2.9	states/eV/f.u.
# energy of formation from the pure elements	-1.609	eV per formula unit
# E	-6.68	eV per atom

***

# PuFePd2, relaxed, DFT PBE-GGA
data_PuFePd2
_chemical_formula_sum 'Pu4 Fe4 Pd8'
_space_group_name_H-M_alt 'F m -3 m'
_space_group_IT_number 225
_space_group_name_Hall '-F 4 2 3'
_cell_length_a 6.643
_cell_length_b 6.643
_cell_length_c 6.643
_cell_angle_alpha 90.00
_cell_angle_beta 90.00
_cell_angle_gamma 90.00
loop_
_atom_site_label
_atom_site_fract_x
_atom_site_fract_y
_atom_site_fract_z
Pu1 0.000 0.000 0.000
Fe1 0.000 0.000 0.500
Pd1 0.250 0.250 0.250
# DOS at the Fermi energy	13.4	states/eV/f.u.
# energy of formation from the pure elements	0.042	eV per formula unit
# E	-8.28	eV per atom